Entry from Alexandria via LeMat-Bulk: an optimized crystal structure of Nb2BiF2 (GGA-PBE).

a b c (Å): 4.3546 4.3546 8.6485
angles (deg): 90.00 90.00 90.00
With the nearest neighbours (Å) after each atom.
Space group I4/mmm (No. 139)
Inequivalent atoms, fractional coordinates:
1 Nb 0.0000 0.5000 0.2500 [4 per cell]  4 F 2.38
2 Bi 0.0000 0.0000 0.0000 [2 per cell]  8 Nb 3.07, 10 F 3.12-3.31
3 F 0.0000 0.0000 0.3605 [4 per cell]  4 Nb 2.38, 1 F 2.41

Output
* total DFT energy (no corrections): -62.4 eV per cell
* energy relative to the lowest polymorph listed for this composition: 0.0000 eV/atom
* formation energy from raw total energies: -684 meV/atom